Here is a relaxed structure of Ac3PdAu from Alexandria. Energies are from PBE.

```
Ac3PdAu
1.0
-3.6382 -2.2743 0.5848
0.8800 0.8376 -7.2995
6.0215 -9.7334 -0.3909
Ac Pd Au
6 2 2
direct
0.0849 0.1699 0.7500
0.9151 0.8301 0.2500
0.3607 0.7214 0.5752
0.6393 0.2786 0.4248
0.6393 0.2786 0.0752
0.3607 0.7214 0.9248
0.0000 0.0000 0.5000
0.0000 0.0000 0.0000
0.2468 0.4935 0.2500
0.7532 0.5065 0.7500
```

E_tot, eV/cell: -47.7
Energy of formation from the pure elements, eV per atom: -0.6126
Space group: Cmcm, No. 63
Magnetization, μB/cell: 0.00
Fermi-level density of states, states/eV/cell: 10.01